# 1
Here is an optimized crystal structure of LaDy3Y7 from Alexandria. Energies are from PBE.

```
11
Lattice="-0.3950 5.5690 -0.2764 -0.3629 -0.5218 -9.9629 -6.0764 -5.9038 2.7652" Properties=species:S:1:pos:R:3 pbc="T T T"
La -3.4172 -0.4283 -3.7371
Y -1.4587 2.5392 -3.2889
Y -5.3756 -3.3958 -4.1852
Y -4.0930 -3.1496 -1.1167
Y -2.7414 2.2931 -6.3575
Y -0.5232 -0.1111 -1.5005
Y -3.2357 -0.1674 1.2444
Y -6.3112 -0.7454 -5.9737
Dy -5.1868 -3.5647 -7.8416
Dy -1.6476 2.7081 0.3674
Dy -0.1815 -0.2609 -4.9814
```

total energy = -0.209 Ha/atom
offset from the most stable computed form = 0.000 eV per atom
DOS at the Fermi energy = 18.50 states/eV per cell
energy of formation from the pure elements = 0.141 eV/atom
symmetry = P2/m (10)

=====

# 2
Here is an optimized crystal structure of LaDy2Y2 from Alexandria. Energies are from PBE.

```
5
Lattice="-3.3313 -0.4867 -1.2828 1.2325 -2.5413 -2.2366 -1.0708 -7.3048 10.6117" Properties=species:S:1:pos:R:3 pbc="T T T"
Dy -1.6871 -7.0175 7.0440
Dy -1.4824 -3.3153 0.0484
Y -2.3211 -6.8036 3.5498
Y -0.8485 -3.5292 3.5425
La 0.0000 0.0000 0.0000
```

total energy = -0.198 Ha/atom
offset from the most stable computed form = 0.000 eV per atom
DOS at the Fermi energy = 7.44 states/eV per cell
energy of formation from the pure elements = 0.028 eV/atom
symmetry = I4/mmm (139)

=====

# 3
Here is an optimized crystal structure of LaDy14Y from Alexandria. Energies are from PBE.

```
16
Lattice="-1.9809 5.9847 -3.3631 -4.8157 -5.1072 1.3330 -2.3941 4.9024 10.1340" Properties=species:S:1:pos:R:3 pbc="T T T"
Dy -4.6978 -4.6459 1.1377
Dy -5.6829 -1.6481 -0.5453
Dy -3.0133 2.2079 4.7556
Dy -2.9270 5.8152 -0.2691
Dy -4.3497 0.2807 2.1017
Dy -3.2810 0.8977 -1.2094
Dy -6.4138 2.6469 3.7399
Dy -5.5477 2.7339 7.1729
Dy -3.1464 5.2950 6.5413
Dy -6.5500 5.7344 5.5247
Dy -1.9337 2.8118 1.4080
Dy -5.3373 3.2512 0.3913
Dy -2.2922 -2.0858 0.4675
Dy -4.1359 8.2906 4.8479
La -4.0060 5.1958 3.0757
Y -5.4227 -0.3474 5.4226
```

total energy = -0.174 Ha/atom
DOS at the Fermi energy = 19.07 states/eV per cell
energy of formation from the pure elements = 0.007 eV/atom
symmetry = Amm2 (38)

=====

# 4
Here is an optimized crystal structure of La2Dy5Y3 from Alexandria. Energies are from PBE.

```
20
Lattice="8.4011 1.5989 -3.9235 0.2568 8.5569 -4.0058 -1.6966 -1.9149 10.8902" Properties=species:S:1:pos:R:3 pbc="T T T"
La 4.1131 2.6895 -0.3825
La 2.8483 5.5515 3.3434
La 5.2635 -0.0524 4.9848
La 1.6979 8.2933 -2.0239
Dy 2.0161 0.4307 6.1354
Dy 2.3774 4.8569 -2.5925
Dy 3.4180 6.1072 0.1451
Dy -0.5437 5.5948 2.7354
Dy 6.1726 5.1608 2.3951
Dy 4.9453 7.8103 -3.1745
Dy 4.5840 3.3841 5.5534
Dy 0.7888 3.0802 0.5658
Dy 3.5434 2.1338 2.8158
Dy 7.5051 2.6461 0.2255
Y 6.4113 1.3319 -2.6520
Y 0.5500 6.9090 5.6128
Y -0.1000 6.2141 -0.4977
Y 1.1104 3.5443 5.0275
Y 7.0614 2.0269 3.4585
Y 5.8510 4.6967 -2.0666
```

total energy = -0.185 Ha/atom
DOS at the Fermi energy = 34.25 states/eV per cell
energy of formation from the pure elements = 0.196 eV/atom
symmetry = C2/c (15)

=====

# 5
Here is an optimized crystal structure of La5Dy4Y from Alexandria. Energies are from PBE.

```
10
Lattice="-2.0793 2.7451 1.3484 -2.0374 -0.0272 -3.0864 -15.4987 -16.8381 10.3795" Properties=species:S:1:pos:R:3 pbc="T T T"
Dy -3.1088 -3.3775 2.0820
Dy -12.3898 -13.4606 8.2975
Dy -9.2957 -10.0990 6.2253
Dy -6.2030 -6.7390 4.1541
La -15.9924 -13.7792 8.4626
La -12.9002 -10.4198 6.3918
La -3.6230 -0.3409 0.1789
La -9.8077 -7.0601 4.3208
La -6.7152 -3.7003 2.2497
Y 0.0000 0.0000 0.0000
```

total energy = -0.181 Ha/atom
DOS at the Fermi energy = 16.60 states/eV per cell
energy of formation from the pure elements = 0.024 eV/atom
symmetry = P4/mmm (123)

=====

# 6
Here is an optimized crystal structure of La8DyY5 from Alexandria. Energies are from PBE.

```
14
Lattice="8.6938 -0.0894 0.1536 -3.0257 8.1508 -0.1536 -2.6423 -4.1655 7.1610" Properties=species:S:1:pos:R:3 pbc="T T T"
La -0.0672 3.8606 5.9726
La -2.8138 3.9934 3.2987
La 2.0641 3.7754 1.8405
La 4.7335 0.6801 2.5255
La 1.0132 0.4116 3.1279
La -0.9906 5.5958 0.4032
La 6.0960 -2.0762 4.8185
La 2.0676 -0.6571 6.6573
Y 3.0257 -2.1274 3.6573
Y 3.0978 2.5525 5.2170
Y -0.9742 1.9777 0.8535
Y 4.3795 6.5628 1.2972
Y -0.4516 -3.3012 6.9543
Dy -1.3212 0.9289 5.3324
```

total energy = -0.191 Ha/atom
DOS at the Fermi energy = 23.04 states/eV per cell
energy of formation from the pure elements = 0.253 eV/atom
symmetry = I-4 (82)

=====

# 7
Here is an optimized crystal structure of La2Dy6Y5 from Alexandria. Energies are from PBE.

```
26
Lattice="3.6089 0.0000 0.0000 0.0000 11.7388 0.0000 0.0000 0.0000 20.4197" Properties=species:S:1:pos:R:3 pbc="T T T"
Dy 0.0000 10.8658 13.0459
Dy 1.8045 7.9874 17.9112
Dy 0.0000 0.7427 1.4991
Dy 1.8045 2.1180 12.7184
Dy 0.0000 4.9964 17.5837
Dy 1.8045 9.6208 7.7013
Dy 0.0000 5.1267 11.7090
Dy 0.0000 10.9961 18.9206
Dy 1.8045 3.7514 2.5086
Dy 0.0000 6.6121 8.7108
Dy 0.0000 6.7424 2.8360
Dy 0.0000 0.8730 7.3738
La 0.0000 3.8643 5.6832
La 0.0000 9.7337 4.5266
La 0.0000 7.8745 14.7365
La 0.0000 2.0051 15.8931
Y 1.8045 0.0000 10.2099
Y 1.8045 6.9346 5.7843
Y 1.8045 8.2109 11.3592
Y 1.8045 1.0652 4.4256
Y 1.8045 10.6735 15.9942
Y 1.8045 9.3973 1.1493
Y 1.8045 3.5279 9.0605
Y 1.8045 4.8041 14.6354
Y 1.8045 5.8694 0.0000
Y 1.8045 2.3415 19.2704
```

total energy = -0.194 Ha/atom
DOS at the Fermi energy = 37.39 states/eV per cell
energy of formation from the pure elements = 0.103 eV/atom
symmetry = Pbam (55)

=====

# 8
Here is an optimized crystal structure of La2Dy6Y from Alexandria. Energies are from PBE.

```
9
Lattice="3.5977 0.0000 0.0000 -1.7988 3.1157 0.0000 0.0000 0.0000 26.6211" Properties=species:S:1:pos:R:3 pbc="T T T"
Y 0.0000 2.0771 0.0000
Dy 1.7988 1.0386 23.7558
Dy 0.0000 2.0771 11.6547
Dy 0.0000 2.0771 5.6586
Dy 1.7988 1.0386 2.8653
Dy 0.0000 2.0771 14.9664
Dy 0.0000 2.0771 20.9625
La 1.7988 1.0386 8.7512
La 1.7988 1.0386 17.8699
```

total energy = -0.177 Ha/atom
offset from the most stable computed form = 0.000 eV per atom
DOS at the Fermi energy = 15.15 states/eV per cell
energy of formation from the pure elements = 0.066 eV/atom
symmetry = P-6m2 (187)